No. 1
{
  "formula": "Pm3TcC2",
  "functional": "PBE-GGA",
  "state": "relaxed",
  "cell": [[-2.1780, 2.2179, -1.5823], [-4.4220, -5.5021, -5.4700], [-9.1211, -4.0328, 3.0576]],
  "species": ["C", "Pm", "Pm", "C", "Pm", "Pm", "Tc", "C", "Pm", "C", "Tc", "Pm"],
  "frac_coords": [[0.9177, 0.4047, 0.7598], [0.8120, 0.7430, 0.6329], [0.6419, 0.6772, 0.0390], [0.4167, 0.6995, 0.4671], [0.0690, 0.1205, 0.7415], [0.3581, 0.3228, 0.9610], [0.5443, 0.5528, 0.3586], [0.5833, 0.3005, 0.5329], [0.9310, 0.8795, 0.2585], [0.0823, 0.5953, 0.2402], [0.4557, 0.4472, 0.6414], [0.1880, 0.2570, 0.3671]],
  "magnetic_moment_mub_per_atom": 0.0000,
  "density_kg_m3": 6690,
  "ef_kj_per_mol_atoms": -4.52,
  "dos_at_fermi_per_ev_cell": 12.87,
  "energy_ha_per_atom": -0.2655,
  "space_group": "No. 12"
}

No. 2
{
  "formula": "Tb5CuAg4",
  "functional": "PBE-GGA",
  "state": "relaxed",
  "cell": [[3.5951, 0.0000, 0.0000], [0.0000, 3.5951, 0.0000], [0.0000, 0.0000, 18.3792]],
  "species": ["Tb", "Tb", "Ag", "Tb", "Tb", "Cu", "Ag", "Ag", "Tb", "Ag"],
  "frac_coords": [[0.5000, 0.5000, 0.5000], [0.5000, 0.5000, 0.0923], [0.0000, 0.0000, 0.8051], [0.5000, 0.5000, 0.2962], [0.5000, 0.5000, 0.9077], [0.0000, 0.0000, 0.0000], [0.0000, 0.0000, 0.6018], [0.0000, 0.0000, 0.1949], [0.5000, 0.5000, 0.7038], [0.0000, 0.0000, 0.3982]],
  "magnetic_moment_mub_per_atom": 0.0000,
  "density_kg_m3": 9015,
  "ef_kj_per_mol_atoms": -28.87,
  "dos_at_fermi_per_ev_cell": 4.37,
  "energy_ha_per_atom": -0.1530,
  "space_group": "No. 123"
}

No. 3
{
  "formula": "Tb2Si5Tc3",
  "functional": "PBE-GGA",
  "state": "relaxed",
  "cell": [[5.2962, 0.0000, 1.7651], [2.0168, 7.6426, 2.7769], [0.1506, -0.0492, 8.3763]],
  "species": ["Si", "Si", "Si", "Tc", "Tc", "Tc", "Tb", "Si", "Si", "Si", "Si", "Si", "Si", "Tc", "Tb", "Tb", "Tc", "Tb", "Si", "Tc"],
  "frac_coords": [[0.0442, 0.2058, 0.2058], [0.7500, 0.5000, 0.5000], [0.5988, 0.7233, 0.0791], [0.6490, 0.4361, 0.2658], [0.3510, 0.5639, 0.7342], [0.1490, 0.2658, 0.4361], [0.6329, 0.1290, 0.6052], [0.2500, 0.5000, 0.5000], [0.4012, 0.2767, 0.9209], [0.9012, 0.9209, 0.2767], [0.0988, 0.0791, 0.7233], [0.5442, 0.2058, 0.2058], [0.4558, 0.7942, 0.7942], [0.8510, 0.7342, 0.5639], [0.3671, 0.8710, 0.3948], [0.1329, 0.6052, 0.1290], [0.2500, 0.0000, 0.0000], [0.8671, 0.3948, 0.8710], [0.9558, 0.7942, 0.7942], [0.7500, 0.0000, 0.0000]],
  "magnetic_moment_mub_per_atom": 0.0006,
  "density_kg_m3": 7401,
  "dos_at_fermi_per_ev_cell": 11.50,
  "energy_ha_per_atom": -0.2729,
  "formation_energy_uncorrected_ev_per_atom": -0.680,
  "space_group": "No. 72"
}

No. 4
{
  "formula": "CaLu3C",
  "functional": "PBE-GGA",
  "state": "relaxed",
  "cell": [[4.9845, 0.0000, 0.0000], [0.0000, 4.9845, 0.0000], [0.0000, 0.0000, 4.9845]],
  "species": ["Lu", "Lu", "Ca", "Lu", "C"],
  "frac_coords": [[0.0000, 0.5000, 0.0000], [0.0000, 0.0000, 0.5000], [0.5000, 0.5000, 0.5000], [0.5000, 0.0000, 0.0000], [0.0000, 0.0000, 0.0000]],
  "magnetic_moment_mub_per_atom": 0.0000,
  "density_kg_m3": 7737,
  "ef_kj_per_mol_atoms": -3.19,
  "dos_at_fermi_per_ev_cell": 5.12,
  "energy_ha_per_atom": -0.1834,
  "space_group": "No. 221"
}

No. 5
{
  "formula": "Rb2LaCdF8",
  "functional": "PBE-GGA",
  "state": "relaxed",
  "cell": [[-0.7074, 3.7919, 1.3658], [-0.3385, -2.3148, 6.2055], [7.8716, 1.1572, 0.8629]],
  "species": ["F", "Cd", "Rb", "F", "F", "F", "F", "F", "F", "F", "Rb", "La"],
  "frac_coords": [[0.0012, 0.7967, 0.7551], [0.0000, 0.0000, 0.0000], [0.5000, 0.4999, 0.7580], [0.5024, 0.8099, 0.9999], [0.9988, 0.2033, 0.2449], [0.0012, 0.7969, 0.2449], [0.4976, 0.1901, 0.0001], [0.5003, 0.2041, 0.5000], [0.4997, 0.7959, 0.5000], [0.9988, 0.2031, 0.7551], [0.5000, 0.5001, 0.2420], [0.0000, 0.0000, 0.5000]],
  "magnetic_moment_mub_per_atom": 0.0946,
  "density_kg_m3": 4391,
  "dos_at_fermi_per_ev_cell": 13.59,
  "energy_ha_per_atom": -0.1736,
  "formation_energy_uncorrected_ev_per_atom": -2.827,
  "space_group": "No. 10"
}

No. 6
{
  "formula": "SrInFeCu2",
  "functional": "PBE-GGA",
  "state": "relaxed",
  "cell": [[-3.0606, -1.4058, 3.3616], [3.7174, -0.5266, 3.1643], [-0.5454, 4.5175, 1.3926]],
  "species": ["Cu", "Cu", "In", "Sr", "Fe"],
  "frac_coords": [[0.5000, 0.0000, 0.0000], [0.0000, 0.0000, 0.5000], [0.0000, 0.5000, 0.0000], [0.5000, 0.5000, 0.5000], [0.0000, 0.0000, 0.0000]],
  "magnetic_moment_mub_per_atom": 0.3904,
  "density_kg_m3": 5755,
  "ef_kj_per_mol_atoms": 28.10,
  "dos_at_fermi_per_ev_cell": 5.59,
  "energy_ha_per_atom": -0.1442,
  "space_group": "No. 123"
}

No. 7
{
  "formula": "SrAuN2O",
  "functional": "PBE-GGA",
  "state": "relaxed",
  "cell": [[-1.2469, -4.1834, -2.4434], [4.2093, -2.1846, 1.5921], [-2.1572, -1.4923, 3.6557]],
  "species": ["N", "Sr", "Au", "N", "O"],
  "frac_coords": [[0.5000, 0.0000, 0.0000], [0.0000, 0.0000, 0.0000], [0.5000, 0.5000, 0.5000], [0.0000, 0.5000, 0.0000], [0.0000, 0.0000, 0.5000]],
  "magnetic_moment_mub_per_atom": 1.0072,
  "density_kg_m3": 4846,
  "dos_at_fermi_per_ev_cell": 3.93,
  "energy_ha_per_atom": -0.1365,
  "formation_energy_uncorrected_ev_per_atom": 1.598,
  "space_group": "No. 123"
}

No. 8
{
  "formula": "HfGaAu2",
  "functional": "PBE-GGA",
  "state": "relaxed",
  "cell": [[4.4481, 0.0000, 0.0000], [-2.2240, 4.3377, -0.0651], [-2.2240, -2.0208, 3.8389]],
  "species": ["Au", "Hf", "Ga", "Au"],
  "frac_coords": [[0.0000, 0.0005, 0.9995], [0.5000, 0.2500, 0.7500], [0.5000, 0.7500, 0.2500], [0.0000, 0.4995, 0.5005]],
  "magnetic_moment_mub_per_atom": 0.0000,
  "density_kg_m3": 14511,
  "ef_kj_per_mol_atoms": -38.00,
  "dos_at_fermi_per_ev_cell": 1.85,
  "energy_ha_per_atom": -0.1939,
  "space_group": "No. 71"
}

No. 9
{
  "formula": "CeNb4",
  "functional": "PBE-GGA",
  "state": "relaxed",
  "cell": [[-1.3756, -3.4040, 3.1024], [0.7761, -3.3629, -3.3457], [4.5398, -0.4565, 1.5120]],
  "species": ["Nb", "Nb", "Nb", "Ce", "Nb"],
  "frac_coords": [[0.0000, 0.5000, 0.5000], [0.5000, 0.0000, 0.5000], [0.0000, 0.0000, 0.0000], [0.5000, 0.5000, 0.5000], [0.5000, 0.5000, 0.0000]],
  "magnetic_moment_mub_per_atom": 0.0011,
  "density_kg_m3": 7652,
  "ef_kj_per_mol_atoms": 141.22,
  "dos_at_fermi_per_ev_cell": 8.50,
  "energy_ha_per_atom": -0.2859,
  "space_group": "No. 221"
}

No. 10
{
  "formula": "PrSm5Mg4",
  "functional": "PBE-GGA",
  "state": "relaxed",
  "cell": [[3.8043, 0.0000, 0.0000], [0.0000, 3.8043, 0.0000], [0.0000, 0.0000, 20.6511]],
  "species": ["Mg", "Mg", "Sm", "Sm", "Mg", "Sm", "Sm", "Pr", "Mg", "Sm"],
  "frac_coords": [[0.0000, 0.0000, 0.2168], [0.0000, 0.0000, 0.5946], [0.5000, 0.5000, 0.5000], [0.5000, 0.5000, 0.8782], [0.0000, 0.0000, 0.7832], [0.5000, 0.5000, 0.6884], [0.5000, 0.5000, 0.1218], [0.0000, 0.0000, 0.0000], [0.0000, 0.0000, 0.4054], [0.5000, 0.5000, 0.3116]],
  "magnetic_moment_mub_per_atom": 0.0000,
  "density_kg_m3": 5500,
  "ef_kj_per_mol_atoms": -7.04,
  "dos_at_fermi_per_ev_cell": 12.25,
  "energy_ha_per_atom": -0.1304,
  "space_group": "No. 123"
}

No. 11
{
  "formula": "ReAg2Ir",
  "functional": "PBE-GGA",
  "state": "relaxed",
  "cell": [[-2.5999, -3.4329, 1.2289], [-1.1771, -0.4929, 4.2925], [-4.2339, 0.7364, 1.2595]],
  "species": ["Ag", "Ir", "Ag", "Re"],
  "frac_coords": [[0.7500, 0.7500, 0.7500], [0.5000, 0.5000, 0.5000], [0.2500, 0.2500, 0.2500], [0.0000, 0.0000, 0.0000]],
  "magnetic_moment_mub_per_atom": 0.0000,
  "density_kg_m3": 15537,
  "ef_kj_per_mol_atoms": 96.25,
  "dos_at_fermi_per_ev_cell": 3.80,
  "energy_ha_per_atom": -0.2115,
  "relative_energy_mev_per_atom": 790,
  "space_group": "No. 225"
}

No. 12
{
  "formula": "LiCrCl2",
  "functional": "PBE-GGA",
  "state": "relaxed",
  "cell": [[-0.7165, -3.2786, 4.1292], [4.3522, -2.3583, -1.9518], [-1.4440, 4.4555, 2.5251]],
  "species": ["Li", "Cl", "Cl", "Cr"],
  "frac_coords": [[0.2500, 0.7500, 0.5000], [0.4930, 0.4930, 0.0000], [0.0070, 0.0070, 0.0000], [0.7500, 0.2500, 0.5000]],
  "magnetic_moment_mub_per_atom": 1.2452,
  "density_kg_m3": 2374,
  "dos_at_fermi_per_ev_cell": 0.60,
  "energy_ha_per_atom": -0.1690,
  "relative_energy_mev_per_atom": 239,
  "formation_energy_uncorrected_ev_per_atom": -0.791,
  "space_group": "No. 71"
}